[1]
Cs4LaPm3Te8 | PBE | optimized geometry

**Uncorrected formation energy**: -33.06 kcal/mol of atoms

Unit cell a=9.3610 b=10.4487 c=9.3629 alpha=116.64 beta=119.99 gamma=90.00
Closest atoms and distances in Å follow each position.
Fractional coordinates of all 16 atoms:
Te 0.7312 0.6933 0.4624  3 Pm 3.21
Te 0.7659 0.3053 0.0391  2 Pm 3.20, 1 La 3.25
Te 0.2341 0.6947 0.9609  2 Pm 3.20, 1 La 3.25
Te 0.2341 0.6947 0.4682  2 Pm 3.20, 1 La 3.25
Te 0.7268 0.6947 0.9609  2 Pm 3.20, 1 La 3.25
Te 0.2732 0.3053 0.0391  2 Pm 3.20, 1 La 3.25
Te 0.7659 0.3053 0.5318  2 Pm 3.20, 1 La 3.25
Te 0.2688 0.3067 0.5376  3 Pm 3.21
Pm 0.5000 0.5000 0.0000  6 Te 3.20-3.21
Pm 0.5000 0.5000 0.5000  6 Te 3.20-3.21
Pm 0.0000 0.5000 0.5000  6 Te 3.20-3.21
Cs 0.0000 0.0000 0.0000  6 Te 3.85-3.86
Cs 0.0000 0.0000 0.5000  6 Te 3.85-3.86
Cs 0.5000 0.0000 0.5000  6 Te 3.85-3.86
Cs 0.5000 0.0000 0.0000  6 Te 3.81
La 0.0000 0.5000 0.0000  6 Te 3.25


[2]
SrAlS3 | PBE | optimized geometry

**Excess energy over the best structure of this formula in the dataset**: 1.640 eV per atom
**Uncorrected formation energy**: 6.62 kcal/mol of atoms

Unit cell a=5.6260 b=5.6260 c=5.6260 alpha=90.00 beta=90.00 gamma=90.00
Closest atoms and distances in Å follow each position.
Fractional coordinates of all 5 atoms:
S 0.5000 0.0000 0.0000  2 Sr 2.81
S 0.0000 0.0000 0.5000  2 Sr 2.81
S 0.0000 0.5000 0.0000  2 Sr 2.81
Sr 0.0000 0.0000 0.0000  6 S 2.81
Al 0.5000 0.5000 0.5000  12 S 3.98


Number 1: total magnetization 0.000 μB/cell. Number 2: total magnetization 3.000 μB/cell.